Entry 1:
Below is La2Tl2Pt15 after structural relaxation, with properties calculated at the GGA-PBE level.

Computed properties:
* total DFT energy (no corrections): -5.989 eV per atom
* DOS at the Fermi energy: 0.697 states/eV/atom

a b c (Å): 7.1066 7.1066 7.1066
angles (deg): 84.29 84.29 84.29
Sites, in units of the cell vectors:
La: 0.1460 0.1460 0.1460
La: 0.8540 0.8540 0.8540
Tl: 0.3943 0.3943 0.3943
Tl: 0.6057 0.6057 0.6057
Pt: 0.0000 0.5000 0.5000
Pt: 0.1582 0.1582 0.6701
Pt: 0.1582 0.6701 0.1582
Pt: 0.1753 0.5000 0.8247
Pt: 0.1753 0.8247 0.5000
Pt: 0.3299 0.8418 0.8418
Pt: 0.5000 0.0000 0.5000
Pt: 0.5000 0.1753 0.8247
Pt: 0.5000 0.5000 0.0000
Pt: 0.5000 0.8247 0.1753
Pt: 0.6701 0.1582 0.1582
Pt: 0.8247 0.1753 0.5000
Pt: 0.8247 0.5000 0.1753
Pt: 0.8418 0.3299 0.8418
Pt: 0.8418 0.8418 0.3299

Entry 2:
Below is La5TlPt2 after structural relaxation, with properties calculated at the GGA-PBE level.

Computed properties:
* total DFT energy (no corrections): -5.634 eV per atom
* DOS at the Fermi energy: 0.904 states/eV/atom

a b c (Å): 9.1587 9.1587 9.1587
angles (deg): 126.63 126.63 78.86
Sites, in units of the cell vectors:
La: 0.0000 0.0000 0.0000
La: 0.0221 0.5221 0.8192
La: 0.2028 0.0221 0.5000
La: 0.2972 0.7972 0.8192
La: 0.4779 0.2972 0.5000
La: 0.5000 0.5000 0.0000
La: 0.5221 0.7028 0.5000
La: 0.7028 0.2028 0.1808
La: 0.7972 0.9779 0.5000
La: 0.9779 0.4779 0.1808
Tl: 0.2500 0.2500 0.0000
Tl: 0.7500 0.7500 0.0000
Pt: 0.1363 0.3637 0.5000
Pt: 0.3637 0.8637 0.2275
Pt: 0.6363 0.1363 0.7725
Pt: 0.8637 0.6363 0.5000

Entry 3:
Below is La7Tl2Pt2 after structural relaxation, with properties calculated at the GGA-PBE level.

Computed properties:
* total DFT energy (no corrections): -5.233 eV per atom
* DOS at the Fermi energy: 1.286 states/eV/atom

a b c (Å): 9.3415 9.3415 9.3415
angles (deg): 150.59 70.47 117.59
Sites, in units of the cell vectors:
La: 0.0000 0.0000 0.0000
La: 0.2993 0.4037 0.8956
La: 0.3078 0.6363 0.6714
La: 0.5081 0.4037 0.1044
La: 0.5992 0.2215 0.3777
La: 0.8439 0.2215 0.6223
La: 0.9649 0.6363 0.3286
Tl: 0.1600 0.9310 0.2291
Tl: 0.7019 0.9310 0.7709
Pt: 0.2382 0.7382 0.5000
Pt: 0.6741 0.6741 0.0000

Entry 4:
Below is LaTl2Pt2 after structural relaxation, with properties calculated at the GGA-PBE level.

Computed properties:
* total DFT energy (no corrections): -4.559 eV per atom
* DOS at the Fermi energy: 0.787 states/eV/atom
* relative energy among the computed polymorphs: 304 meV/atom

a b c (Å): 8.2915 8.2915 3.3443
angles (deg): 90.00 90.00 90.00
Sites, in units of the cell vectors:
La: 0.0000 0.0000 0.0000
La: 0.5000 0.5000 0.0000
Tl: 0.1257 0.3743 0.0000
Tl: 0.3743 0.8743 0.0000
Tl: 0.6257 0.1257 0.0000
Tl: 0.8743 0.6257 0.0000
Pt: 0.1767 0.6767 0.5000
Pt: 0.3233 0.1767 0.5000
Pt: 0.6767 0.8233 0.5000
Pt: 0.8233 0.3233 0.5000

| no. | formation energy (eV/atom) |
| --- | --- |
| 1 | -0.452 |
| 2 | -0.749 |
| 3 | -0.569 |
| 4 | -0.211 |